YErPd2 PBE optimized geometry; ΔE_f = -71 kJ/mol of atoms; ΔE to the lowest computed polymorph = 188 meV per atom; space-group type = R-3m, No. 166; raw total energy = -6.0866 eV/atom
1.0
2.042 1.179 6.600
-2.042 1.179 6.600
0.000 -2.358 6.600
Y Er Pd
1 1 2
direct
0.000 0.000 0.000 Y
0.500 0.500 0.500 Er
0.248 0.248 0.248 Pd
0.752 0.752 0.752 Pd

---

Y4Er3Pd2 PBE optimized geometry; ΔE_f = -35 kJ/mol of atoms; space-group type = C2/m, No. 12; raw total energy = -5.9103 eV/atom
1.0
8.336 -1.846 0.000
8.336 1.846 0.000
-3.479 0.000 8.373
Y Er Pd
4 3 2
direct
0.130 0.130 0.390 Y
0.266 0.266 0.834 Y
0.734 0.734 0.166 Y
0.870 0.870 0.610 Y
0.430 0.430 0.320 Er
0.500 0.500 0.000 Er
0.570 0.570 0.680 Er
0.117 0.117 0.941 Pd
0.883 0.883 0.059 Pd

---

YEr3Pd PBE optimized geometry; ΔE_f = -27 kJ/mol of atoms; space-group type = C2/m, No. 12; raw total energy = -5.3486 eV/atom
1.0
5.745 -4.196 0.000
5.745 4.196 0.000
-4.824 0.000 6.145
Y Er Pd
2 6 2
direct
0.040 0.040 0.308 Y
0.960 0.960 0.692 Y
0.096 0.495 0.261 Er
0.426 0.426 0.726 Er
0.495 0.096 0.261 Er
0.505 0.904 0.739 Er
0.574 0.574 0.274 Er
0.904 0.505 0.739 Er
0.272 0.272 0.921 Pd
0.728 0.728 0.079 Pd

---

Y2Er3Pd2 PBE optimized geometry; ΔE_f = -53 kJ/mol of atoms; ΔE to the lowest computed polymorph = 0 meV per atom; space-group type = C2/m, No. 12; raw total energy = -5.8309 eV/atom
1.0
6.155 -1.862 0.000
6.155 1.862 0.000
-4.098 0.000 8.028
Y Er Pd
2 3 2
direct
0.156 0.156 0.311 Y
0.844 0.844 0.689 Y
0.386 0.386 0.060 Er
0.500 0.500 0.500 Er
0.614 0.614 0.940 Er
0.168 0.168 0.737 Pd
0.832 0.832 0.263 Pd